This record from the Alexandria database describes NiAg3Br after structural relaxation. The functional is GGA-PBE.

Results
* ΔE_f (raw): 0.63 eV/atom
* theoretical density: 6.6 g/cm³
* magnetic moment: 0.2 μB per formula unit
* ΔE to the lowest computed polymorph: 0 meV per atom
* total DFT energy (no corrections): -2.5764 eV/atom

a = 4.885 Å, b = 4.885 Å, c = 4.885 Å
α = 90.00°, β = 90.00°, γ = 90.00°
Element x y z (fractional)
Ag 0.000 0.500 0.000
Ni 0.000 0.000 0.000
Ag 0.000 0.000 0.500
Ag 0.500 0.000 0.000
Br 0.500 0.500 0.500